#A
Entry from Alexandria: an optimized crystal structure of Ho2ErAl6 (PBE).

Output
D(E_F) ... 1.6 states/eV/cell
Spin magnetization ... 0.00 μB per atom

Cell: 3.437 7.894 7.894 Å, 120.00 90.00 90.00°
Element x y z (fractional)
Ho 0.000 0.333 0.667
Ho 0.000 0.667 0.333
Er 0.000 0.000 0.000
Al 0.500 0.333 0.333
Al 0.500 0.667 0.667
Al 0.500 0.000 0.667
Al 0.500 0.667 0.000
Al 0.500 0.333 0.000
Al 0.500 0.000 0.333

***

#B
Entry from Alexandria: an optimized crystal structure of Ho2ErAl6 (PBE).

Output
D(E_F) ... 5.0 states/eV/cell
Spin magnetization ... 0.00 μB per atom

Cell: 4.366 7.941 7.941 Å, 52.60 74.04 74.04°
Element x y z (fractional)
Ho 0.377 0.123 0.123
Ho 0.623 0.877 0.877
Er 0.500 0.500 0.500
Al 0.186 0.509 0.120
Al 0.814 0.491 0.880
Al 0.814 0.880 0.491
Al 0.000 0.190 0.810
Al 0.000 0.810 0.190
Al 0.186 0.120 0.509

***

#A is favored, and the nearest alternative lies 25.1 kJ/mol of atoms above it.